(1)
## LaGa2RuF (PBE)

Data for a geometry-optimized LaGa2RuF structure.

Properties
Raw total energy (eV/atom): -4.99
D(E_F) (states/eV/f.u.): 4.77
ΔE_f (raw) (meV per atom): -565

Structure (extended XYZ):
```
5
Lattice="-2.936 1.780 -3.359 2.158 -2.714 -3.324 -2.919 -3.303 0.801" Properties=species:S:1:pos:R:3 pbc="T T T"
Ru 0.000 0.000 0.000
F -1.460 -1.651 0.401
Ga 1.079 -1.357 -1.662
Ga -1.468 0.890 -1.680
La -1.849 -2.118 -2.941
```



(2)
## La2ScGaF (PBE)

Data for a geometry-optimized La2ScGaF structure.

Properties
Raw total energy (eV/atom): -4.79
D(E_F) (states/eV/f.u.): 6.16
ΔE_f (raw) (meV per atom): -575

Structure (extended XYZ):
```
5
Lattice="6.228 0.000 0.000 0.000 4.030 0.000 0.000 0.000 6.228" Properties=species:S:1:pos:R:3 pbc="T T T"
Sc 0.000 0.000 0.000
F 0.000 2.015 0.000
Ga 3.114 2.015 3.114
La 0.000 0.000 3.114
La 3.114 0.000 0.000
```